Here is crystalline Ho2HfH at its relaxed geometry from Alexandria. Energies are from PBE-GGA.

Structure (POSCAR):
```
Ho2HfH
1.0
-2.529 1.198 -1.752
-3.080 -0.255 1.161
-0.966 8.296 3.955
H Ho Hf
1 2 1
Cartesian
-3.287 4.619 1.682 H
-5.294 3.723 0.855 Ho
-1.281 5.516 2.509 Ho
0.000 0.000 0.000 Hf
```

Properties
- Distance to the lowest polymorph of the same formula: 3.7 kJ per mole of atoms
- Density of states at the Fermi level: 4.5 states/eV/f.u.
- E_tot: -5.4560 eV/atom